Compound: NdPaTe2
Source: the Alexandria database
Functional: GGA-PBE
Structure: relaxed

Cell: 4.025 8.527 7.072 Å, 90.00 90.00 90.00°
Element x y z (fractional)
Nd1 0.500 0.000 0.500
Nd2 0.500 0.500 0.500
Pa1 0.000 0.500 0.000
Pa2 0.000 0.000 0.000
Te1 0.500 0.750 0.841
Te2 0.500 0.250 0.159
Te3 0.000 0.250 0.677
Te4 0.000 0.750 0.323

Calculated values
DOS at the Fermi energy in states/eV per atom: 1.78
Energy relative to the elements, uncorrected in eV/f.u.: -3.81
Total magnetization in μB per atom: 0.3246
Symmetry: Pmma, No. 51
DFT total energy in eV for the cell shown: -48.7

---

Compound: Hg2Se
Source: the Alexandria database
Functional: GGA-PBE
Structure: relaxed

Cell: 9.772 9.772 9.772 Å, 162.86 162.86 24.34°
Element x y z (fractional)
Hg1 0.341 0.341 0.000
Hg2 0.659 0.659 0.000
Se1 0.000 0.000 0.000

Calculated values
DOS at the Fermi energy in states/eV per atom: 0.55
Energy relative to the elements, uncorrected in eV/f.u.: 0.39
Total magnetization in μB per atom: 0.0000
Symmetry: I4/mmm, No. 139
DFT total energy in eV for the cell shown: -3.7

---

Compound: LiGaCuBi
Source: the Alexandria database
Functional: GGA-PBE
Structure: relaxed

Cell: 4.758 4.758 4.758 Å, 60.00 60.00 60.00°
Element x y z (fractional)
Cu1 0.250 0.250 0.250
Bi1 0.000 0.000 0.000
Ga1 0.500 0.500 0.500
Li1 0.750 0.750 0.750

Calculated values
ΔH_f (0 K) in eV per atom: -0.056
DOS at the Fermi energy in states/eV per atom: 0.24
Total magnetization in μB per atom: 0.0000
Symmetry: F-43m, No. 216
DFT total energy in eV for the cell shown: -13.1

---

Compound: Rb2BaAg2
Source: the Alexandria database
Functional: GGA-PBE
Structure: relaxed

Cell: 8.801 8.801 5.705 Å, 90.00 90.00 90.00°
Element x y z (fractional)
Rb1 0.163 0.663 0.500
Rb2 0.663 0.837 0.500
Rb3 0.837 0.337 0.500
Rb4 0.337 0.163 0.500
Ba1 0.000 0.000 0.000
Ba2 0.500 0.500 0.000
Ag1 0.385 0.885 0.000
Ag2 0.885 0.615 0.000
Ag3 0.615 0.115 0.000
Ag4 0.115 0.385 0.000

Calculated values
ΔH_f (0 K) in eV per atom: 0.029
DOS at the Fermi energy in states/eV per atom: 0.25
Total magnetization in μB per atom: 0.0000
Symmetry: P4/mbm, No. 127
DFT total energy in eV for the cell shown: -18.8

---

Compound: Ca3Sn2Ge2
Source: the Alexandria database
Functional: GGA-PBE
Structure: relaxed

Cell: 4.374 4.642 10.100 Å, 103.29 102.51 90.00°
Element x y z (fractional)
Ca1 0.000 0.000 0.000
Ca2 0.678 0.178 0.356
Ca3 0.322 0.822 0.644
Sn1 0.153 0.653 0.305
Sn2 0.847 0.347 0.695
Ge1 0.566 0.566 0.133
Ge2 0.434 0.434 0.867

Calculated values
ΔH_f (0 K) in eV per atom: -0.508
DOS at the Fermi energy in states/eV per atom: 0.41
Total magnetization in μB per atom: 0.0000
Symmetry: Immm, No. 71
DFT total energy in eV for the cell shown: -26.8

---

Compound: Ba3NaSi
Source: the Alexandria database
Functional: GGA-PBE
Structure: relaxed

Cell: 4.349 10.840 10.479 Å, 113.51 90.00 90.00°
Element x y z (fractional)
Ba1 0.196 0.021 0.185
Ba2 0.195 0.417 0.710
Ba3 0.195 0.752 0.510
Ba4 0.696 0.005 0.844
Ba5 0.695 0.669 0.044
Ba6 0.695 0.400 0.369
Na1 0.695 0.075 0.506
Na2 0.195 0.347 0.048
Si1 0.695 0.660 0.710
Si2 0.195 0.762 0.844

Calculated values
DOS at the Fermi energy in states/eV per atom: 1.04
Energy relative to the elements, uncorrected in eV/f.u.: -0.59
Total magnetization in μB per atom: 0.0000
Symmetry: P2_1/m, No. 11
DFT total energy in eV for the cell shown: -26.2

---

Compound: Y2ZnFeB
Source: the Alexandria database
Functional: GGA-PBE
Structure: relaxed

Cell: 5.395 3.731 5.395 Å, 90.00 90.00 90.00°
Element x y z (fractional)
Y1 0.000 0.000 0.500
Y2 0.500 0.000 0.000
Zn1 0.000 0.000 0.000
B1 0.000 0.500 0.000
Fe1 0.500 0.500 0.500

Calculated values
ΔH_f (0 K) in eV per atom: 0.652
DOS at the Fermi energy in states/eV per atom: 0.99
Total magnetization in μB per atom: 0.2464
Symmetry: P4/mmm, No. 123
DFT total energy in eV for the cell shown: -26.1

---

Compound: Tb2TmTh
Source: the Alexandria database
Functional: GGA-PBE
Structure: relaxed

Cell: 3.553 3.553 10.049 Å, 90.00 90.00 90.00°
Element x y z (fractional)
Tm1 0.500 0.500 0.000
Tb1 0.000 0.000 0.746
Tb2 0.000 0.000 0.254
Th1 0.500 0.500 0.500

Calculated values
ΔH_f (0 K) in eV per atom: 0.033
DOS at the Fermi energy in states/eV per atom: 1.21
Total magnetization in μB per atom: 0.0000
Symmetry: P4/mmm, No. 123
DFT total energy in eV for the cell shown: -21.0

---

Copy entry 3 word for word.
Compound: LiGaCuBi
Source: the Alexandria database
Functional: GGA-PBE
Structure: relaxed

Cell: 4.758 4.758 4.758 Å, 60.00 60.00 60.00°
Element x y z (fractional)
Cu1 0.250 0.250 0.250
Bi1 0.000 0.000 0.000
Ga1 0.500 0.500 0.500
Li1 0.750 0.750 0.750

Calculated values
ΔH_f (0 K) in eV per atom: -0.056
DOS at the Fermi energy in states/eV per atom: 0.24
Total magnetization in μB per atom: 0.0000
Symmetry: F-43m, No. 216
DFT total energy in eV for the cell shown: -13.1